Record 1
A relaxed structure of RbBi3Rh, computed with PBE.

Computed properties:
Space group: P2_1/c (14)
Excess energy over the best structure of this formula in the dataset, meV per atom: 45
ΔE_f, eV/atom: -0.2162

abc: 6.6344 10.1423 9.9390
angles: 99.85 90.00 90.00
Last column: nearest neighbours and their distance in Å.
Positions (direct):
Bi 0.0817 0.9809 0.3337  3 Rh 2.76-2.85
Bi 0.4183 0.9809 0.8337  3 Rh 2.76-2.85
Bi 0.9321 0.2761 0.4144  1 Rh 2.85, 1 Bi 3.13
Bi 0.5679 0.2761 0.9144  1 Rh 2.85, 1 Bi 3.13
Bi 0.0844 0.2089 0.0862  2 Rh 2.69
Bi 0.0679 0.7239 0.5856  1 Rh 2.85, 1 Bi 3.13
Bi 0.4156 0.2089 0.5862  2 Rh 2.69
Bi 0.9183 0.0191 0.6663  3 Rh 2.76-2.85
Bi 0.5844 0.7911 0.4138  2 Rh 2.69
Bi 0.4321 0.7239 0.0856  1 Rh 2.85, 1 Bi 3.13
Bi 0.9156 0.7911 0.9138  2 Rh 2.69
Bi 0.5817 0.0191 0.1663  3 Rh 2.76-2.85
Rh 0.8116 0.0499 0.9381  6 Bi 2.69-2.85
Rh 0.6884 0.0499 0.4381  6 Bi 2.69-2.85
Rh 0.3116 0.9501 0.5619  6 Bi 2.69-2.85
Rh 0.1884 0.9501 0.0619  6 Bi 2.69-2.85
Rb 0.5498 0.5909 0.7022  6 Bi 3.60-3.95, 2 Rb 3.99
Rb 0.9502 0.5909 0.2022  6 Bi 3.60-3.95, 2 Rb 3.99
Rb 0.0498 0.4091 0.7978  6 Bi 3.60-3.95, 2 Rb 3.99
Rb 0.4502 0.4091 0.2978  6 Bi 3.60-3.95, 2 Rb 3.99

Record 2
A relaxed structure of CaPa3Sn12, computed with PBE.

Computed properties:
Space group: P4/mmm (123)
ΔE_f, eV/atom: -0.3155

abc: 4.6771 4.6771 18.6679
angles: 90.00 90.00 90.00
Last column: nearest neighbours and their distance in Å.
Positions (direct):
Sn 0.0000 0.5000 0.6230  4 Pa 3.25-3.28, 8 Sn 3.28-3.31
Sn 0.0000 0.5000 0.1284  8 Sn 3.29-3.35, 2 Pa 3.34, 2 Ca 3.35
Sn 0.5000 0.0000 0.8716  8 Sn 3.29-3.35, 2 Pa 3.34, 2 Ca 3.35
Sn 0.5000 0.0000 0.3770  4 Pa 3.25-3.28, 8 Sn 3.28-3.31
Sn 0.0000 0.5000 0.3770  4 Pa 3.25-3.28, 8 Sn 3.28-3.31
Sn 0.0000 0.5000 0.8716  8 Sn 3.29-3.35, 2 Pa 3.34, 2 Ca 3.35
Sn 0.5000 0.5000 0.7476  8 Sn 3.29-3.30, 4 Pa 3.31
Sn 0.5000 0.5000 0.2524  8 Sn 3.29-3.30, 4 Pa 3.31
Sn 0.5000 0.0000 0.6230  4 Pa 3.25-3.28, 8 Sn 3.28-3.31
Sn 0.5000 0.5000 0.5000  8 Sn 3.28, 4 Pa 3.31
Sn 0.5000 0.0000 0.1284  8 Sn 3.29-3.35, 2 Pa 3.34, 2 Ca 3.35
Sn 0.5000 0.5000 0.0000  4 Ca 3.31, 8 Sn 3.35
Pa 0.0000 0.0000 0.7441  12 Sn 3.25-3.34
Pa 0.0000 0.0000 0.5000  12 Sn 3.28-3.31
Pa 0.0000 0.0000 0.2559  12 Sn 3.25-3.34
Ca 0.0000 0.0000 0.0000  12 Sn 3.31-3.35

Record 3
A relaxed structure of LaSm2ErBi5, computed with PBE.

Computed properties:
Space group: P4/mmm (123)
ΔE_f, eV/atom: -0.1574

abc: 5.3833 5.3833 12.1862
angles: 90.00 90.00 90.00
Last column: nearest neighbours and their distance in Å.
Positions (direct):
Bi 0.5000 0.5000 0.0000  2 Sm 3.26
Bi 0.0000 0.5000 0.5000  2 Er 2.69
Bi 0.0000 0.0000 0.7483  1 Er 3.03, 1 La 3.07
Bi 0.0000 0.0000 0.2517  1 Er 3.03, 1 La 3.07
Bi 0.5000 0.0000 0.5000  2 Er 2.69
Sm 0.5000 0.5000 0.2676  1 Bi 3.26
Sm 0.5000 0.5000 0.7324  1 Bi 3.26
La 0.0000 0.0000 0.0000  2 Bi 3.07
Er 0.0000 0.0000 0.5000  4 Bi 2.69

Record 4
A relaxed structure of CrCo4, computed with PBE.

Computed properties:
Space group: P4/mbm (127)
Excess energy over the best structure of this formula in the dataset, meV per atom: 841
ΔE_f, eV/atom: 0.9031

abc: 4.4508 8.1279 8.1279
angles: 90.00 90.00 90.00
Last column: nearest neighbours and their distance in Å.
Positions (direct):
Co 0.5000 0.2916 0.6041  4 Co 2.16-2.28
Co 0.5000 0.7916 0.8959  4 Co 2.16-2.28
Co 0.5000 0.2084 0.1041  4 Co 2.16-2.28
Co 0.5000 0.3959 0.2916  4 Co 2.16-2.28
Co 0.5000 0.6084 0.1084  5 Co 2.28-2.49
Co 0.5000 0.8959 0.2084  4 Co 2.16-2.28
Co 0.5000 0.1084 0.3916  5 Co 2.28-2.49
Co 0.5000 0.6041 0.7084  4 Co 2.16-2.28
Co 0.5000 0.7084 0.3959  4 Co 2.16-2.28
Co 0.2262 0.0000 0.0000  5 Co 2.01-2.25
Co 0.2262 0.5000 0.5000  5 Co 2.01-2.25
Co 0.7738 0.0000 0.0000  5 Co 2.01-2.25
Co 0.7738 0.5000 0.5000  5 Co 2.01-2.25
Co 0.5000 0.3916 0.8916  5 Co 2.28-2.49
Co 0.5000 0.8916 0.6084  5 Co 2.28-2.49
Co 0.5000 0.1041 0.7916  4 Co 2.16-2.28
Cr 0.0000 0.9180 0.4180  1 Cr 1.88
Cr 0.0000 0.0820 0.5820  1 Cr 1.88
Cr 0.0000 0.4180 0.0820  1 Cr 1.88
Cr 0.0000 0.5820 0.9180  1 Cr 1.88

Record 5
A relaxed structure of LiReO2F, computed with PBE.

Computed properties:
Space group: P4/mmm (123)

abc: 3.7083 3.7083 3.2419
angles: 90.00 90.00 90.00
Last column: nearest neighbours and their distance in Å.
Positions (direct):
Li 0.0000 0.0000 0.0000  2 F 1.62
O 0.5000 0.0000 0.0000  2 Li 1.85
O 0.0000 0.5000 0.0000  2 Li 1.85
F 0.0000 0.0000 0.5000  2 Li 1.62
Re 0.5000 0.5000 0.5000  8 O 2.46, 4 F 2.62

Record 6
A relaxed structure of YTl2Cl5, computed with PBE.

Computed properties:
Space group: Cm (8)
Excess energy over the best structure of this formula in the dataset, meV per atom: 65

abc: 7.7406 7.7294 7.9782
angles: 119.93 119.02 90.00
Last column: nearest neighbours and their distance in Å.
Positions (direct):
Cl 0.8352 0.2887 0.1311  1 Y 2.61
Cl 0.7941 0.7858 0.0444  1 Y 2.62
Cl 0.2503 0.7858 0.0444  1 Y 2.62
Cl 0.7672 0.8210 0.5343  1 Y 2.51
Cl 0.2959 0.2887 0.1311  1 Y 2.61
Tl 0.6739 0.1320 0.3477  5 Cl 3.10-3.32
Tl 0.1775 0.6856 0.3549  4 Cl 3.09-3.21
Y 0.9830 0.9895 0.9661  5 Cl 2.51-2.62

Record 7
A relaxed structure of LaPm7Sn2, computed with PBE.

Computed properties:
Space group: Cmmm (65)
ΔE_f, eV/atom: 0.1479

abc: 5.7835 9.0351 9.0351
angles: 118.47 90.00 90.00
Last column: nearest neighbours and their distance in Å.
Positions (direct):
Pm 0.5000 0.6950 0.9446  2 Sn 3.17-3.22, 2 Pm 3.33-3.53
Pm 0.0000 0.2403 0.7597  2 Sn 3.05
Pm 0.0000 0.7597 0.2403  2 Sn 3.05
Pm 0.5000 0.9446 0.6950  2 Sn 3.17-3.22, 2 Pm 3.33-3.53
Pm 0.5000 0.5000 0.5000  2 Sn 3.07
Pm 0.5000 0.0554 0.3050  2 Sn 3.17-3.22, 2 Pm 3.33-3.53
Pm 0.5000 0.3050 0.0554  2 Sn 3.17-3.22, 2 Pm 3.33-3.53
Sn 0.5000 0.6977 0.3023  7 Pm 3.05-3.22
Sn 0.5000 0.3023 0.6977  7 Pm 3.05-3.22
La 0.0000 0.0000 0.0000  10 Pm 3.73-3.86

Record 8
A relaxed structure of Pm5Sm, computed with PBE.

Computed properties:
Space group: Cmmm (65)
ΔE_f, eV/atom: 0.0135

abc: 5.1533 5.1512 8.1630
angles: 108.39 90.00 90.00
Last column: nearest neighbours and their distance in Å.
Positions (direct):
Pm 0.0000 0.3336 0.6672  10 Pm 3.64-3.65, 2 Sm 3.64
Pm 0.5000 0.5000 0.0000  4 Sm 3.64, 8 Pm 3.64-3.65
Pm 0.5000 0.8334 0.6667  10 Pm 3.64-3.65, 2 Sm 3.65
Pm 0.5000 0.1666 0.3333  10 Pm 3.64-3.65, 2 Sm 3.65
Pm 0.0000 0.6664 0.3328  10 Pm 3.64-3.65, 2 Sm 3.64
Sm 0.0000 0.0000 0.0000  12 Pm 3.64-3.65

no.,total energy (eV/atom)
1,-4.21
2,-5.22
3,-4.42
4,-6.71
5,-5.62
6,-4.17
7,-4.47
8,-4.73